No. 1
Compound: ZnP2Ir
Source: Alexandria
Functional: GGA-PBE
Structure: relaxed

Properties
The calculation puts the magnetic moment at 0.00 μB/cell. For the formation energy, the calculation gives -0.1437 eV/atom. The total energy comes out at -86.12 eV per cell. As for the density of states at the Fermi level: 2.4 states/eV/f.u.

Geometry as CIF:
```
data_ZnP2Ir
_space_group_name_H-M_alt 'I -4 2 d'
_space_group_IT_number 122
_space_group_name_Hall 'I -4 2bw'
_cell_length_a 5.418
_cell_length_b 5.418
_cell_length_c 10.649
_cell_angle_alpha 90.00
_cell_angle_beta 90.00
_cell_angle_gamma 90.00
loop_
_atom_site_label
_atom_site_type_symbol
_atom_site_fract_x
_atom_site_fract_y
_atom_site_fract_z
_atom_site_occupancy
Zn1 Zn 0.000 0.000 0.000 1
P1 P 0.228 0.250 0.625 1
Ir1 Ir 0.000 0.000 0.500 1
```

***

No. 2
Compound: ZnP2Ir
Source: Alexandria
Functional: GGA-PBE
Structure: relaxed

Properties
The calculation puts the magnetic moment at 0.00 μB/cell. For the formation energy, the calculation gives 0.2649 eV/atom. The total energy comes out at -39.79 eV per cell. As for the density of states at the Fermi level: 1.7 states/eV/f.u.

Geometry as CIF:
```
data_ZnP2Ir
_space_group_name_H-M_alt 'C m m m'
_space_group_IT_number 65
_space_group_name_Hall '-C 2 2'
_cell_length_a 2.693
_cell_length_b 4.816
_cell_length_c 9.824
_cell_angle_alpha 90.00
_cell_angle_beta 90.00
_cell_angle_gamma 90.00
loop_
_atom_site_label
_atom_site_type_symbol
_atom_site_fract_x
_atom_site_fract_y
_atom_site_fract_z
_atom_site_occupancy
Zn1 Zn 0.000 0.000 0.000 1
P1 P 0.000 0.500 0.287 1
Ir1 Ir 0.000 0.000 0.500 1
```

***

No. 3
Compound: ZnPIr
Source: Alexandria
Functional: GGA-PBE
Structure: relaxed

Properties
The calculation puts the magnetic moment at 0.00 μB/cell. For the formation energy, the calculation gives -0.0570 eV/atom. The total energy comes out at -31.43 eV per cell. As for the density of states at the Fermi level: 1.1 states/eV/f.u.

Geometry as CIF:
```
data_ZnPIr
_space_group_name_H-M_alt 'I m m 2'
_space_group_IT_number 44
_cell_length_a 2.985
_cell_length_b 3.432
_cell_length_c 8.626
_cell_angle_alpha 90.00
_cell_angle_beta 90.00
_cell_angle_gamma 90.00
loop_
_space_group_symop_operation_xyz
'x,y,z'
'-x,-y,z'
'-x,y,z'
'x,-y,z'
'x+1/2,y+1/2,z+1/2'
'-x+1/2,-y+1/2,z+1/2'
'-x+1/2,y+1/2,z+1/2'
'x+1/2,-y+1/2,z+1/2'
loop_
_atom_site_label
_atom_site_type_symbol
_atom_site_fract_x
_atom_site_fract_y
_atom_site_fract_z
_atom_site_occupancy
Zn1 Zn 0.000 0.000 0.000 1
P1 P 0.000 0.000 0.699 1
Ir1 Ir 0.000 0.000 0.307 1
```

***

No. 4
Compound: Zn3PIr
Source: Alexandria
Functional: GGA-PBE
Structure: relaxed

Properties
The calculation puts the magnetic moment at 0.00 μB/cell. For the formation energy, the calculation gives 0.7684 eV/atom. The total energy comes out at -14.25 eV per cell. As for the density of states at the Fermi level: 1.0 states/eV/f.u. The offset from the most stable computed form is 0.0753 eV per atom.

Geometry as CIF:
```
data_Zn3PIr
_space_group_name_H-M_alt 'P m -3 m'
_space_group_IT_number 221
_space_group_name_Hall '-P 4 2 3'
_cell_length_a 4.468
_cell_length_b 4.468
_cell_length_c 4.468
_cell_angle_alpha 90.00
_cell_angle_beta 90.00
_cell_angle_gamma 90.00
loop_
_atom_site_label
_atom_site_type_symbol
_atom_site_fract_x
_atom_site_fract_y
_atom_site_fract_z
_atom_site_occupancy
Zn1 Zn 0.000 0.000 0.500 1
P1 P 0.000 0.000 0.000 1
Ir1 Ir 0.500 0.500 0.500 1
```

***

No. 5
Compound: ZnPIr
Source: Alexandria
Functional: GGA-PBE
Structure: relaxed

Properties
The calculation puts the magnetic moment at 0.00 μB/cell. For the formation energy, the calculation gives -0.0987 eV/atom. The total energy comes out at -31.68 eV per cell. As for the density of states at the Fermi level: 1.3 states/eV/f.u.

Geometry as CIF:
```
data_ZnPIr
_space_group_name_H-M_alt 'I 4 m m'
_space_group_IT_number 107
_space_group_name_Hall 'I 4 -2'
_cell_length_a 2.874
_cell_length_b 2.874
_cell_length_c 11.094
_cell_angle_alpha 90.00
_cell_angle_beta 90.00
_cell_angle_gamma 90.00
loop_
_atom_site_label
_atom_site_type_symbol
_atom_site_fract_x
_atom_site_fract_y
_atom_site_fract_z
_atom_site_occupancy
Zn1 Zn 0.000 0.000 0.000 1
P1 P 0.000 0.000 0.705 1
Ir1 Ir 0.000 0.000 0.328 1
```

***

No. 6
Compound: ZnPIr
Source: Alexandria
Functional: GGA-PBE
Structure: relaxed

Properties
The calculation puts the magnetic moment at 0.00 μB/cell. For the formation energy, the calculation gives -0.1520 eV/atom. The total energy comes out at -16.00 eV per cell. As for the density of states at the Fermi level: 0.8 states/eV/f.u.

Geometry as CIF:
```
data_ZnPIr
_space_group_name_H-M_alt 'P 3 m 1'
_space_group_IT_number 156
_cell_length_a 3.0636
_cell_length_b 3.0636
_cell_length_c 5.7117
_cell_angle_alpha 90.00
_cell_angle_beta 90.00
_cell_angle_gamma 120.00
loop_
_space_group_symop_operation_xyz
'x,y,z'
'-y,x-y,z'
'-x+y,-x,z'
'-y,-x,z'
'-x+y,y,z'
'x,x-y,z'
loop_
_atom_site_label
_atom_site_type_symbol
_atom_site_fract_x
_atom_site_fract_y
_atom_site_fract_z
_atom_site_occupancy
Zn1 Zn 0.0000 0.0000 0.0000 1
P1 P 0.6667 0.3333 0.6237 1
Ir1 Ir 0.3333 0.6667 0.3573 1
```

***

No. 7
Compound: ZnP2Ir
Source: Alexandria
Functional: GGA-PBE
Structure: relaxed

Properties
The calculation puts the magnetic moment at 0.00 μB/cell. For the formation energy, the calculation gives 0.4415 eV/atom. The total energy comes out at -76.75 eV per cell. As for the density of states at the Fermi level: 1.2 states/eV/f.u.

Geometry as CIF:
```
data_ZnP2Ir
_space_group_name_H-M_alt 'F -4 3 m'
_space_group_IT_number 216
_space_group_name_Hall 'F -4 2 3'
_cell_length_a 6.122
_cell_length_b 6.122
_cell_length_c 6.122
_cell_angle_alpha 90.00
_cell_angle_beta 90.00
_cell_angle_gamma 90.00
loop_
_atom_site_label
_atom_site_type_symbol
_atom_site_fract_x
_atom_site_fract_y
_atom_site_fract_z
_atom_site_occupancy
Zn1 Zn 0.000 0.000 0.000 1
P1 P 0.000 0.000 0.500 1
P2 P 0.250 0.250 0.750 1
Ir1 Ir 0.250 0.250 0.250 1
```

***

No. 8
Compound: ZnPIr2
Source: Alexandria
Functional: GGA-PBE
Structure: relaxed

Properties
The calculation puts the magnetic moment at 1.50 μB/cell. For the formation energy, the calculation gives 0.0074 eV/atom. The total energy comes out at -97.51 eV per cell. As for the density of states at the Fermi level: 5.0 states/eV/f.u. The offset from the most stable computed form is 0.1944 eV per atom.

Geometry as CIF:
```
data_ZnPIr2
_space_group_name_H-M_alt 'F m -3 m'
_space_group_IT_number 225
_space_group_name_Hall '-F 4 2 3'
_cell_length_a 6.035
_cell_length_b 6.035
_cell_length_c 6.035
_cell_angle_alpha 90.00
_cell_angle_beta 90.00
_cell_angle_gamma 90.00
loop_
_atom_site_label
_atom_site_type_symbol
_atom_site_fract_x
_atom_site_fract_y
_atom_site_fract_z
_atom_site_occupancy
Zn1 Zn 0.000 0.000 0.000 1
P1 P 0.000 0.000 0.500 1
Ir1 Ir 0.250 0.250 0.250 1
```

***

No. 9
Compound: ZnP2Ir
Source: Alexandria
Functional: GGA-PBE
Structure: relaxed

Properties
The calculation puts the magnetic moment at 0.00 μB/cell. For the formation energy, the calculation gives 0.2061 eV/atom. The total energy comes out at -40.26 eV per cell. As for the density of states at the Fermi level: 1.5 states/eV/f.u.

Geometry as CIF:
```
data_ZnP2Ir
_space_group_name_H-M_alt 'C m m m'
_space_group_IT_number 65
_space_group_name_Hall '-C 2 2'
_cell_length_a 5.218
_cell_length_b 7.145
_cell_length_c 3.068
_cell_angle_alpha 90.00
_cell_angle_beta 90.00
_cell_angle_gamma 90.00
loop_
_atom_site_label
_atom_site_type_symbol
_atom_site_fract_x
_atom_site_fract_y
_atom_site_fract_z
_atom_site_occupancy
Zn1 Zn 0.000 0.000 0.000 1
P1 P 0.250 0.250 0.500 1
Ir1 Ir 0.000 0.500 0.000 1
```

***

No. 10
Compound: ZnP2Ir
Source: Alexandria
Functional: GGA-PBE
Structure: relaxed

Properties
The calculation puts the magnetic moment at 0.00 μB/cell. For the formation energy, the calculation gives 0.3689 eV/atom. The total energy comes out at -19.48 eV per cell. As for the density of states at the Fermi level: 2.0 states/eV/f.u.

Geometry as CIF:
```
data_ZnP2Ir
_space_group_name_H-M_alt 'P m m m'
_space_group_IT_number 47
_cell_length_a 3.065
_cell_length_b 4.285
_cell_length_c 4.385
_cell_angle_alpha 90.00
_cell_angle_beta 90.00
_cell_angle_gamma 90.00
loop_
_space_group_symop_operation_xyz
'x,y,z'
'-x,-y,-z'
'-x,-y,z'
'x,y,-z'
'x,-y,-z'
'-x,y,z'
'-x,y,-z'
'x,-y,z'
loop_
_atom_site_label
_atom_site_type_symbol
_atom_site_fract_x
_atom_site_fract_y
_atom_site_fract_z
_atom_site_occupancy
Zn1 Zn 0.000 0.000 0.000 1
P1 P 0.000 0.500 0.500 1
P2 P 0.500 0.000 0.500 1
Ir1 Ir 0.500 0.500 0.000 1
```

***

No. 11
Compound: ZnP2Ir
Source: Alexandria
Functional: GGA-PBE
Structure: relaxed

Properties
The calculation puts the magnetic moment at 0.00 μB/cell. For the formation energy, the calculation gives 0.2352 eV/atom. The total energy comes out at -40.03 eV per cell. As for the density of states at the Fermi level: 2.1 states/eV/f.u.

Geometry as CIF:
```
data_ZnP2Ir
_space_group_name_H-M_alt 'I m m 2'
_space_group_IT_number 44
_cell_length_a 3.111
_cell_length_b 4.692
_cell_length_c 7.886
_cell_angle_alpha 90.00
_cell_angle_beta 90.00
_cell_angle_gamma 90.00
loop_
_space_group_symop_operation_xyz
'x,y,z'
'-x,-y,z'
'-x,y,z'
'x,-y,z'
'x+1/2,y+1/2,z+1/2'
'-x+1/2,-y+1/2,z+1/2'
'-x+1/2,y+1/2,z+1/2'
'x+1/2,-y+1/2,z+1/2'
loop_
_atom_site_label
_atom_site_type_symbol
_atom_site_fract_x
_atom_site_fract_y
_atom_site_fract_z
_atom_site_occupancy
Zn1 Zn 0.000 0.000 0.000 1
P1 P 0.000 0.000 0.524 1
P2 P 0.000 0.500 0.244 1
Ir1 Ir 0.000 0.500 0.786 1
```

***

No. 12
Compound: ZnPIr3
Source: Alexandria
Functional: GGA-PBE
Structure: relaxed

Properties
The calculation puts the magnetic moment at 0.00 μB/cell. For the formation energy, the calculation gives 1.7794 eV/atom. The total energy comes out at -24.37 eV per cell. As for the density of states at the Fermi level: 8.4 states/eV/f.u. The offset from the most stable computed form is 1.3374 eV per atom.

Geometry as CIF:
```
data_ZnPIr3
_space_group_name_H-M_alt 'P m -3 m'
_space_group_IT_number 221
_space_group_name_Hall '-P 4 2 3'
_cell_length_a 4.521
_cell_length_b 4.521
_cell_length_c 4.521
_cell_angle_alpha 90.00
_cell_angle_beta 90.00
_cell_angle_gamma 90.00
loop_
_atom_site_label
_atom_site_type_symbol
_atom_site_fract_x
_atom_site_fract_y
_atom_site_fract_z
_atom_site_occupancy
Zn1 Zn 0.000 0.000 0.000 1
P1 P 0.500 0.500 0.500 1
Ir1 Ir 0.000 0.000 0.500 1
```

***

Q: What is the formula in the fifth record?
A: ZnPIr